## w
This record from the Alexandria database describes a geometry-optimized LiMnP2O7 structure. The functional is PBE with a Hubbard U.

Cell and atoms, written as POSCAR:
```
LiMnP2O7
1.0
-5.2448 0.0026 -0.0046
0.5994 6.9932 0.0099
-0.1470 -3.1151 -7.5105
O Mn P Li
14 2 4 2
direct
0.6935 0.8583 0.9810
0.3295 0.1470 0.0182
0.9493 0.0409 0.7970
0.4113 0.9922 0.6880
0.8426 0.7000 0.4765
0.8689 0.3434 0.2175
0.1281 0.6352 0.7517
0.0269 0.9573 0.2307
0.2468 0.3537 0.8428
0.7304 0.6398 0.1589
0.4347 0.4824 0.3283
0.5448 0.9944 0.2957
0.5731 0.5019 0.6817
0.1880 0.2676 0.5182
0.7869 0.7532 0.7304
0.2267 0.2218 0.2673
0.7458 0.8761 0.1726
0.2362 0.1174 0.8300
0.7215 0.5345 0.3048
0.2830 0.4511 0.6919
0.2745 0.9477 0.4469
0.7080 0.1515 0.9915
```

Calculated values
- space-group type = P1 (1)
- spin magnetization (μB/atom) = 0.363
- density (Mg/m³) = 2.845


## x
This record from the Alexandria database describes a geometry-optimized LiMnP2O7 structure. The functional is PBE with a Hubbard U.

Cell and atoms, written as POSCAR:
```
LiMnP2O7
1.0
-1.7811 -4.6376 -0.2865
4.8856 -0.4014 4.6314
-5.5598 2.3475 5.5547
P O Mn Li
4 14 2 2
direct
0.5464 0.1587 0.7665
0.1433 0.7551 0.6956
0.4649 0.8435 0.2279
0.8748 0.2543 0.3005
0.3279 0.9795 0.6510
0.0678 0.7698 0.8742
0.1171 0.2746 0.4271
0.7888 0.0653 0.8137
0.9483 0.2446 0.1207
0.9091 0.7237 0.5631
0.5961 0.7816 0.0784
0.6443 0.3280 0.6498
0.2123 0.9364 0.1948
0.3764 0.6818 0.3520
0.6982 0.0206 0.3350
0.6850 0.3991 0.3165
0.3331 0.6049 0.6910
0.3906 0.2221 0.9058
0.5076 0.5004 0.4992
0.0101 0.0090 0.9995
0.0698 0.9661 0.4348
0.4370 0.5315 0.9278
```

Calculated values
- space-group type = P1 (1)
- spin magnetization (μB/atom) = 0.363
- density (Mg/m³) = 2.945


Order of stability, best first: x, w


## w
This record from the Alexandria database describes a geometry-optimized LiMnP2O7 structure. The functional is PBE with a Hubbard U.

Cell and atoms, written as POSCAR:
```
LiMnP2O7
1.0
-2.7618 2.8179 2.3454
-1.1811 -4.6602 2.2447
4.6684 1.0231 2.3046
P O Li Mn
2 7 1 1
direct
0.9084 0.7371 0.6624
0.0916 0.3376 0.2629
0.6932 0.6381 0.8260
0.3068 0.1740 0.3619
0.7843 0.1782 0.0744
0.0000 0.4770 0.5230
0.7680 0.8743 0.4563
0.2320 0.5437 0.1257
0.2157 0.9256 0.8218
0.5000 0.2497 0.7503
0.5000 0.8719 0.1281
```

Calculated values
- space-group type = C2 (5)
- spin magnetization (μB/atom) = 0.362
- density (Mg/m³) = 3.226


## x
This record from the Alexandria database describes a geometry-optimized LiMnP2O7 structure. The functional is PBE with a Hubbard U.

Cell and atoms, written as POSCAR:
```
LiMnP2O7
1.0
2.5100 7.7082 0.1204
-2.5100 7.7082 0.1204
0.0000 3.3037 8.2045
O P Li Mn
14 4 2 2
direct
0.8524 0.7897 0.3298
0.3057 0.4944 0.7038
0.8506 0.3402 0.3493
0.7897 0.8524 0.8298
0.1449 0.6611 0.9753
0.4944 0.3057 0.2038
0.9958 0.0044 0.2083
0.0044 0.9958 0.7083
0.5181 0.6707 0.5813
0.3402 0.8506 0.8493
0.1654 0.1927 0.5857
0.1927 0.1654 0.0857
0.6611 0.1449 0.4753
0.6707 0.5181 0.0813
0.9340 0.2651 0.1759
0.2651 0.9340 0.6759
0.0577 0.7368 0.8111
0.7368 0.0577 0.3111
0.5079 0.9030 0.9346
0.9030 0.5079 0.4346
0.6008 0.3890 0.5408
0.3890 0.6008 0.0408
```

Calculated values
- space-group type = Cc (9)
- spin magnetization (μB/atom) = 0.362
- density (Mg/m³) = 2.483


## y
This record from the Alexandria database describes a geometry-optimized LiMnP2O7 structure. The functional is PBE with a Hubbard U.

Cell and atoms, written as POSCAR:
```
LiMnP2O7
1.0
-0.8342 -5.8635 0.8822
2.2330 1.0282 -5.7351
6.9759 1.6961 4.1678
O P Mn Li
14 4 2 2
direct
0.9083 0.3256 0.6786
0.2961 0.2598 0.7820
0.6438 0.0106 0.8147
0.7622 0.3968 0.0470
0.3562 0.9894 0.1853
0.7384 0.6598 0.7919
0.7069 0.3841 0.3428
0.2616 0.3402 0.2081
0.2378 0.6032 0.9530
0.6227 0.8055 0.5178
0.3773 0.1945 0.4822
0.2931 0.6159 0.6572
0.7039 0.7402 0.2180
0.0917 0.6744 0.3214
0.4178 0.2214 0.3120
0.8124 0.5467 0.2175
0.1876 0.4533 0.7825
0.5822 0.7786 0.6880
0.6410 0.3156 0.7734
0.3590 0.6844 0.2266
0.0000 0.0000 0.5000
0.0000 0.0000 0.0000
```

Calculated values
- space-group type = P-1 (2)
- spin magnetization (μB/atom) = 0.363
- density (Mg/m³) = 2.853


Order of stability, best first: w, x, y


## w
This record from the Alexandria database describes a geometry-optimized LiMnP2O7 structure. The functional is PBE with a Hubbard U.

Cell and atoms, written as POSCAR:
```
LiMnP2O7
1.0
-2.1946 7.0808 -1.3507
-1.5134 -3.7379 -4.5810
-7.1679 -2.5327 2.8406
Mn O Li P
2 14 2 4
direct
0.5696 0.3334 0.2605
0.4304 0.6666 0.7395
0.2744 0.8758 0.6641
0.7256 0.1242 0.3359
0.4145 0.2439 0.4519
0.5855 0.7561 0.5481
0.4195 0.8511 0.2618
0.7343 0.3886 0.7353
0.8900 0.7327 0.8906
0.1100 0.2673 0.1094
0.2941 0.2922 0.7188
0.3475 0.6378 0.9663
0.6525 0.3622 0.0337
0.7059 0.7078 0.2812
0.2657 0.6114 0.2647
0.5805 0.1489 0.7382
0.0000 0.0000 0.0000
0.0000 0.5000 0.0000
0.6242 0.8545 0.3661
0.3758 0.1455 0.6339
0.6905 0.5410 0.8724
0.3095 0.4590 0.1276
```

Calculated values
- space-group type = P-1 (2)
- spin magnetization (μB/atom) = 0.363
- density (Mg/m³) = 2.285


## x
This record from the Alexandria database describes a geometry-optimized LiMnP2O7 structure. The functional is PBE with a Hubbard U.

Cell and atoms, written as POSCAR:
```
LiMnP2O7
1.0
6.1637 -0.0700 0.0756
-1.7436 8.1180 -0.0901
-2.0022 -1.1578 5.7252
P Mn O Li
4 2 14 2
direct
0.8028 0.2149 0.5518
0.5106 0.6777 0.7564
0.1600 0.7997 0.4500
0.4463 0.3246 0.2452
0.3653 0.2389 0.6974
0.6080 0.7771 0.3144
0.5295 0.7929 0.9832
0.5418 0.5066 0.7853
0.6734 0.7759 0.6425
0.4051 0.2036 0.0155
0.7415 0.0512 0.3845
0.2239 0.9573 0.6360
0.2381 0.6535 0.5843
0.2948 0.2242 0.3674
0.3925 0.4902 0.2060
0.0693 0.3001 0.6906
0.7214 0.3563 0.4029
0.6880 0.2194 0.7427
0.2900 0.8139 0.2704
0.8955 0.7220 0.3105
0.3402 0.9570 0.9860
0.0621 0.4429 0.9769
```

Calculated values
- space-group type = P1 (1)
- spin magnetization (μB/atom) = 0.363
- density (Mg/m³) = 2.734


## y
This record from the Alexandria database describes a geometry-optimized LiMnP2O7 structure. The functional is PBE with a Hubbard U.

Cell and atoms, written as POSCAR:
```
LiMnP2O7
1.0
-3.8351 2.0105 4.4911
1.3901 -4.3491 4.3475
3.4114 4.3518 4.5624
O Mn P Li
14 2 4 2
direct
0.6420 0.7944 0.4705
0.9392 0.0316 0.2409
0.2169 0.3031 0.2385
0.4000 0.6036 0.7851
0.0608 0.9684 0.7591
0.7831 0.6969 0.7615
0.7669 0.4014 0.5504
0.3886 0.0589 0.8612
0.3580 0.2056 0.5295
0.9460 0.6599 0.1474
0.2331 0.5986 0.4496
0.6114 0.9411 0.1388
0.6000 0.3964 0.2149
0.0540 0.3401 0.8526
0.9002 0.3523 0.2398
0.0998 0.6477 0.7602
0.3471 0.3909 0.3551
0.2164 0.1399 0.7611
0.6529 0.6091 0.6449
0.7836 0.8601 0.2389
0.7055 0.0084 0.8437
0.2945 0.9916 0.1563
```

Calculated values
- space-group type = P-1 (2)
- spin magnetization (μB/atom) = 0.362
- density (Mg/m³) = 3.018


Order of stability, best first: y, x, w